Entry 1:
Compound: K2OsCI
Source: the Alexandria database
Functional: PBE
Structure: optimized geometry

```
5
Lattice="6.598 0.000 0.000 0.000 6.598 0.000 0.000 0.000 3.847" Properties=species:S:1:pos:R:3 pbc="T T T"
K 0.000 3.299 0.000
K 3.299 0.000 0.000
Os 0.000 0.000 0.000
C 0.000 0.000 1.923
I 3.299 3.299 1.923
```

Calculated values
The value obtained for the density of states at the Fermi level is 0.628 states/eV per atom. The total magnetization comes out at 0.22 μB/atom. The calculation puts the uncorrected formation energy at 0.43 eV per atom.

---

Entry 2:
Compound: KPCI2
Source: the Alexandria database
Functional: PBE
Structure: optimized geometry

```
5
Lattice="6.712 0.000 0.000 0.000 6.712 0.000 0.000 0.000 6.697" Properties=species:S:1:pos:R:3 pbc="T T T"
K 0.000 0.000 0.000
P 0.000 0.000 3.348
C 3.356 3.356 3.348
I 0.000 3.356 0.000
I 3.356 0.000 0.000
```

Calculated values
The value obtained for the density of states at the Fermi level is 2.178 states/eV per atom. The total magnetization comes out at 0.80 μB/atom. The calculation puts the uncorrected formation energy at 1.92 eV per atom.

---

Entry 3:
Compound: K2PdCI
Source: the Alexandria database
Functional: PBE
Structure: optimized geometry

```
5
Lattice="6.160 0.000 0.000 0.000 6.160 0.000 0.000 0.000 3.903" Properties=species:S:1:pos:R:3 pbc="T T T"
K 0.000 3.080 0.000
K 3.080 0.000 0.000
Pd 0.000 0.000 1.952
C 0.000 0.000 0.000
I 3.080 3.080 1.952
```

Calculated values
The value obtained for the density of states at the Fermi level is 0.561 states/eV per atom. The total magnetization comes out at 0.06 μB/atom. The calculation puts the uncorrected formation energy at -0.02 eV per atom.

---

Entry 4:
Compound: KRb2CI6
Source: the Alexandria database
Functional: PBE
Structure: optimized geometry

```
10
Lattice="0.000 6.002 6.002 6.002 0.000 6.002 6.002 6.002 0.000" Properties=species:S:1:pos:R:3 pbc="T T T"
K 0.000 0.000 0.000
Rb 3.001 3.001 3.001
Rb 9.003 9.003 9.003
C 6.002 6.002 6.002
I 6.002 6.002 3.353
I 6.002 3.353 6.002
I 8.651 6.002 6.002
I 3.353 6.002 6.002
I 6.002 8.651 6.002
I 6.002 6.002 8.651
```

Calculated values
The value obtained for the density of states at the Fermi level is 1.548 states/eV per atom. The total magnetization comes out at 0.00 μB/atom. The calculation puts the uncorrected formation energy at -0.29 eV per atom.

---

What did the second record say?
Compound: KPCI2
Source: the Alexandria database
Functional: PBE
Structure: optimized geometry

```
5
Lattice="6.712 0.000 0.000 0.000 6.712 0.000 0.000 0.000 6.697" Properties=species:S:1:pos:R:3 pbc="T T T"
K 0.000 0.000 0.000
P 0.000 0.000 3.348
C 3.356 3.356 3.348
I 0.000 3.356 0.000
I 3.356 0.000 0.000
```

Calculated values
The value obtained for the density of states at the Fermi level is 2.178 states/eV per atom. The total magnetization comes out at 0.80 μB/atom. The calculation puts the uncorrected formation energy at 1.92 eV per atom.